## KAu (PBE)

Data for a relaxed structure of KAu.

The calculation puts the energy relative to the elements at -49 kJ/mol of formula units. The value obtained for the total magnetization is 0.0 μB per formula unit.

The structure belongs to space group Fm-3m (No. 225); the cell edges are 6.7759, 6.7759 and 6.7759 Å and the angles 90.00°, 90.00° and 90.00°. The asymmetric unit holds K at (0.0000, 0.0000, 0.0000) and Au at (0.0000, 0.0000, 0.5000).